No. 1
{
  "formula": "Ta2CoRh",
  "functional": "meta-GGA SCAN",
  "state": "single point on PBEsol structure",
  "formation_enthalpy_0k_ev_per_atom": -0.304,
  "cell": [[2.805, 0.030, 0.000], [-0.029, 2.805, 0.000], [0.000, 0.000, 7.359]],
  "species": ["Rh", "Co", "Ta", "Ta"],
  "frac_coords": [[0.500, 0.500, 0.000], [0.500, 0.500, 0.500], [0.000, 0.000, 0.264], [0.000, 0.000, 0.736]]
}


No. 2
{
  "formula": "KTl2",
  "functional": "meta-GGA SCAN",
  "state": "single point on PBEsol structure",
  "relative_energy_mev_per_atom": 58,
  "formation_enthalpy_0k_ev_per_atom": -0.133,
  "cell": [[-2.060, -0.833, -4.600], [-0.485, -6.916, 1.470], [-9.437, 1.503, 3.954]],
  "species": ["K", "K", "K", "K", "Tl", "Tl", "Tl", "Tl", "Tl", "Tl", "Tl", "Tl"],
  "frac_coords": [[0.750, 0.867, 0.080], [0.250, 0.633, 0.580], [0.750, 0.367, 0.420], [0.250, 0.133, 0.920], [0.750, 0.410, 0.776], [0.250, 0.090, 0.276], [0.750, 0.910, 0.724], [0.250, 0.590, 0.224], [0.750, 0.375, 0.088], [0.250, 0.125, 0.588], [0.750, 0.875, 0.412], [0.250, 0.625, 0.912]]
}


No. 3
{
  "formula": "MnCd2TeAu",
  "functional": "meta-GGA SCAN",
  "state": "single point on PBEsol structure",
  "formation_energy_uncorrected_kj_per_mol_atoms": 64.9,
  "cell": [[4.853, 0.000, 0.000], [0.000, 5.474, 0.000], [0.000, 0.000, 5.474]],
  "species": ["Te", "Au", "Mn", "Cd", "Cd"],
  "frac_coords": [[0.000, 0.000, 0.000], [0.500, 0.500, 0.500], [0.500, 0.000, 0.000], [0.000, 0.000, 0.500], [0.000, 0.500, 0.000]]
}


No. 4
{
  "formula": "KZnCd2",
  "functional": "meta-GGA SCAN",
  "state": "single point on PBEsol structure",
  "formation_enthalpy_0k_ev_per_atom": 0.196,
  "cell": [[4.604, 0.000, 0.000], [0.000, 4.604, 0.000], [0.000, 0.000, 4.799]],
  "species": ["Cd", "Cd", "K", "Zn"],
  "frac_coords": [[0.000, 0.500, 0.000], [0.500, 0.000, 0.000], [0.500, 0.500, 0.500], [0.000, 0.000, 0.500]]
}


No. 5
{
  "formula": "Y2InAg",
  "functional": "meta-GGA SCAN",
  "state": "single point on PBEsol structure",
  "formation_enthalpy_0k_ev_per_atom": -0.263,
  "cell": [[3.643, 0.000, 0.000], [-1.821, 4.768, -0.017], [0.000, -1.504, 6.037]],
  "species": ["Ag", "In", "Y", "Y"],
  "frac_coords": [[0.000, 0.000, 0.500], [0.500, 0.000, 0.000], [0.742, 0.484, 0.741], [0.258, 0.516, 0.259]]
}


No. 6
{
  "formula": "BaOsBr2",
  "functional": "meta-GGA SCAN",
  "state": "single point on PBEsol structure",
  "relative_energy_mev_per_atom": 636,
  "formation_energy_uncorrected_kj_per_mol_atoms": 40.6,
  "cell": [[-0.658, 5.337, -0.388], [-4.711, 2.021, -1.671], [-3.212, 2.580, 3.478]],
  "species": ["Os", "Ba", "Br", "Br"],
  "frac_coords": [[0.250, 0.250, 0.250], [0.500, 0.500, 0.500], [0.000, 0.000, 0.000], [0.750, 0.750, 0.750]]
}


No. 7
{
  "formula": "TaHg2Au",
  "functional": "meta-GGA SCAN",
  "state": "single point on PBEsol structure",
  "relative_energy_mev_per_atom": 149,
  "formation_enthalpy_0k_ev_per_atom": 0.265,
  "cell": [[-2.587, 0.733, -1.326], [-0.872, -3.705, 3.043], [-0.684, 4.097, 3.601]],
  "species": ["Au", "Hg", "Hg", "Ta"],
  "frac_coords": [[0.755, 0.510, 0.274], [0.001, 0.003, 0.002], [0.246, 0.492, 0.743], [0.497, 0.994, 0.481]]
}


No. 8
{
  "formula": "LaAs2Pb",
  "functional": "meta-GGA SCAN",
  "state": "single point on PBEsol structure",
  "relative_energy_mev_per_atom": 0,
  "formation_enthalpy_0k_ev_per_atom": -0.728,
  "cell": [[-1.866, 0.645, -3.427], [-0.714, -4.835, -0.521], [-4.263, 0.444, 2.405]],
  "species": ["Pb", "As", "As", "La"],
  "frac_coords": [[0.500, 0.500, 0.500], [0.000, 0.500, 0.000], [0.000, 0.000, 0.500], [0.500, 0.000, 0.000]]
}


No. 9
{
  "formula": "Mg2ReHgBi",
  "functional": "meta-GGA SCAN",
  "state": "single point on PBEsol structure",
  "formation_enthalpy_0k_ev_per_atom": 1.353,
  "cell": [[-0.223, -0.828, 4.897], [1.517, -4.679, -0.722], [5.381, 1.664, 0.526]],
  "species": ["Re", "Mg", "Mg", "Bi", "Hg"],
  "frac_coords": [[0.500, 0.500, 0.500], [0.000, 0.500, 0.000], [0.500, 0.000, 0.000], [0.000, 0.000, 0.500], [0.000, 0.000, 0.000]]
}


No. 10
{
  "formula": "ZnInIr2",
  "functional": "meta-GGA SCAN",
  "state": "single point on PBEsol structure",
  "formation_enthalpy_0k_ev_per_atom": -0.118,
  "cell": [[-1.812, -1.950, -1.605], [1.398, -2.420, 1.361], [-4.192, 0.144, 4.558]],
  "species": ["Zn", "Ir", "Ir", "In"],
  "frac_coords": [[0.500, 0.500, 0.000], [0.000, 0.000, 0.768], [0.000, 0.000, 0.232], [0.500, 0.500, 0.500]]
}


No. 11
{
  "formula": "KAsC2",
  "functional": "meta-GGA SCAN",
  "state": "single point on PBEsol structure",
  "formation_enthalpy_0k_ev_per_atom": 1.442,
  "cell": [[5.874, 0.000, 0.000], [-2.937, 5.006, 0.066], [0.000, 3.383, 4.802]],
  "species": ["C", "C", "C", "C", "As", "As", "K", "K"],
  "frac_coords": [[0.982, 0.750, 0.875], [0.768, 0.750, 0.375], [0.375, 0.250, 0.982], [0.875, 0.250, 0.768], [0.750, 0.500, 0.750], [0.000, 0.000, 0.000], [0.250, 0.500, 0.250], [0.500, 0.000, 0.500]]
}


No. 12
{
  "formula": "Sc2SbP",
  "functional": "meta-GGA SCAN",
  "state": "single point on PBEsol structure",
  "formation_energy_uncorrected_kj_per_mol_atoms": -117.7,
  "cell": [[-2.763, -2.684, 0.748], [2.750, -2.795, 0.131], [0.626, 0.872, 5.446]],
  "species": ["P", "Sb", "Sc", "Sc"],
  "frac_coords": [[0.000, 0.000, 0.375], [0.500, 0.500, 0.875], [0.000, 0.000, 0.875], [0.500, 0.500, 0.375]]
}


no.,total energy (eV/cell),total magnetization (μB per cell)
1,-185.457,1.16
2,-613.783,0.00
3,-182.130,4.04
4,-81.887,0.00
5,-121.492,0.00
6,-148.666,4.00
7,-271.011,0.00
8,-162.179,0.00
9,-221.026,3.96
10,-189.570,0.00
11,-85.905,0.00
12,-81.013,0.00